First-principles (PBE) data for an optimized crystal structure of Na4Bi4Pb3, as listed in Alexandria via LeMat-Bulk.

Summary:
E_form, kJ/mol of atoms: -13
ΔE to the lowest computed polymorph, eV per atom: 0.006
Symmetry: No. 71

abc: 3.632 10.421 10.968
angles: 118.36 99.53 90.00
Fractional coordinates of all 11 atoms:
Bi (0.746, 0.246, 0.491)
Bi (0.254, 0.754, 0.509)
Bi (0.500, 0.222, 0.000)
Bi (0.500, 0.778, 0.000)
Na (0.667, 0.873, 0.334)
Na (0.667, 0.460, 0.334)
Na (0.333, 0.127, 0.666)
Na (0.333, 0.540, 0.666)
Pb (0.000, 0.500, 0.000)
Pb (0.903, 0.903, 0.805)
Pb (0.097, 0.097, 0.195)